Here is a geometry-optimized Ac4TlCo structure from Alexandria via LeMat-Bulk. Energies are from PBE.

abc: 6.5563 7.5738 9.8098
angles: 112.71 108.67 90.00
Element x y z (fractional)
Tl  0.8027  0.8044  0.6088
Tl  0.1973  0.1956  0.3912
Ac  0.6162  0.8648  0.2306
Ac  0.0000  0.7587  0.0000
Ac  0.3838  0.1352  0.7694
Ac  0.0000  0.2413  0.0000
Ac  0.6162  0.3658  0.2306
Ac  0.2063  0.6922  0.3844
Ac  0.7937  0.3078  0.6156
Ac  0.3838  0.6342  0.7694
Co  0.6698  0.4784  0.9569
Co  0.3302  0.5216  0.0431

* uncorrected energy: -4.421 eV/atom
* ΔE to the lowest computed polymorph: 0.0 kJ per mole of atoms

Here is a geometry-optimized Cd3TcPt structure from Alexandria via LeMat-Bulk. Energies are from PBE.

abc: 5.1225 5.1225 5.1225
angles: 90.00 90.00 90.00
Element x y z (fractional)
Pt  0.0000  0.0000  0.0000
Cd  0.5000  0.0000  0.0000
Cd  0.0000  0.5000  0.0000
Cd  0.0000  0.0000  0.5000
Tc  0.5000  0.5000  0.5000

* uncorrected energy: -2.945 eV/atom
* ΔE to the lowest computed polymorph: 0.0 kJ per mole of atoms

Here is a geometry-optimized RbGa2F2 structure from Alexandria via LeMat-Bulk. Energies are from PBE.

abc: 8.7336 8.7336 3.3375
angles: 90.00 90.00 90.00
Element x y z (fractional)
Ga  0.3852  0.8852  0.0000
Ga  0.1148  0.3852  0.0000
Ga  0.6148  0.1148  0.0000
Ga  0.8852  0.6148  0.0000
F  0.7621  0.7379  0.5000
F  0.2379  0.2621  0.5000
F  0.7379  0.2379  0.5000
F  0.2621  0.7621  0.5000
Rb  0.0000  0.0000  0.0000
Rb  0.5000  0.5000  0.0000

* formation energy (no corrections): -1.175 eV/atom
* uncorrected energy: -3.328 eV/atom
* ΔE to the lowest computed polymorph: 5.5 kJ per mole of atoms

Here is a geometry-optimized HgIBr3 structure from Alexandria via LeMat-Bulk. Energies are from PBE.

abc: 5.2425 7.9937 14.6933
angles: 117.88 90.00 109.14
Element x y z (fractional)
I  0.3256  0.6513  0.9297
I  0.6744  0.3487  0.0703
Br  0.3130  0.6259  0.6210
Br  0.0510  0.1020  0.6557
Br  0.9490  0.8980  0.3443
Br  0.6870  0.3741  0.3790
Br  0.8366  0.6733  0.8834
Br  0.1634  0.3267  0.1166
Hg  0.1298  0.2597  0.4833
Hg  0.8702  0.7403  0.5167

* formation energy (no corrections): -0.251 eV/atom
* uncorrected energy: -1.625 eV/atom
* ΔE to the lowest computed polymorph: 0.0 kJ per mole of atoms

Here is a geometry-optimized TiV2Pd structure from Alexandria via LeMat-Bulk. Energies are from PBE.

abc: 4.3479 4.3479 4.3479
angles: 60.00 60.00 60.00
Element x y z (fractional)
V  0.2500  0.2500  0.2500
V  0.7500  0.7500  0.7500
Ti  0.0000  0.0000  0.0000
Pd  0.5000  0.5000  0.5000

* uncorrected energy: -7.812 eV/atom
* ΔE to the lowest computed polymorph: 12.4 kJ per mole of atoms

Here is a geometry-optimized K2Cd4AgSn3 structure from Alexandria via LeMat-Bulk. Energies are from PBE.

abc: 4.8391 4.8391 12.4209
angles: 90.00 90.00 90.00
Element x y z (fractional)
K  0.5000  0.0000  0.2527
K  0.0000  0.5000  0.7473
Sn  0.0000  0.0000  0.5000
Sn  0.5000  0.0000  0.8622
Sn  0.0000  0.5000  0.1378
Ag  0.5000  0.5000  0.5000
Cd  0.5000  0.0000  0.6313
Cd  0.0000  0.0000  0.0000
Cd  0.0000  0.5000  0.3687
Cd  0.5000  0.5000  0.0000

* uncorrected energy: -2.188 eV/atom

Here is a geometry-optimized AgSbCl3 structure from Alexandria via LeMat-Bulk. Energies are from PBE.

abc: 11.5179 9.3580 9.3580
angles: 81.19 55.84 55.84
Element x y z (fractional)
Cl  0.9873  0.2368  0.3721
Cl  0.2890  0.1513  0.5226
Cl  0.4214  0.8512  0.1473
Cl  0.2110  0.4774  0.8487
Cl  0.7110  0.8487  0.4774
Cl  0.0786  0.8527  0.1488
Cl  0.5786  0.1488  0.8527
Cl  0.5127  0.6279  0.7632
Cl  0.4873  0.3721  0.2368
Cl  0.9214  0.1473  0.8512
Cl  0.7890  0.5226  0.1513
Cl  0.0127  0.7632  0.6279
Sb  0.9768  0.1917  0.1276
Sb  0.0232  0.8083  0.8724
Sb  0.4768  0.1276  0.1917
Sb  0.5232  0.8724  0.8083
Ag  0.2500  0.1775  0.8225
Ag  0.2500  0.7121  0.2879
Ag  0.7500  0.2879  0.7121
Ag  0.7500  0.8225  0.1775

* formation energy (no corrections): -0.524 eV/atom
* uncorrected energy: -3.027 eV/atom
* ΔE to the lowest computed polymorph: 0.0 kJ per mole of atoms

Here is a geometry-optimized CePu2WN4 structure from Alexandria via LeMat-Bulk. Energies are from PBE.

abc: 3.3436 6.1562 11.7132
angles: 90.00 90.00 105.76
Element x y z (fractional)
N  0.4603  0.9205  0.7500
N  0.2682  0.5364  0.3752
N  0.2682  0.5364  0.1248
N  0.0000  0.0000  0.0000
N  0.0000  0.0000  0.5000
N  0.5397  0.0795  0.2500
N  0.7318  0.4636  0.6248
N  0.7318  0.4636  0.8752
Pu  0.6319  0.2638  0.0443
Pu  0.6319  0.2638  0.4557
Pu  0.3681  0.7362  0.5443
Pu  0.3681  0.7362  0.9557
Ce  0.8849  0.7698  0.2500
Ce  0.1151  0.2302  0.7500
W  0.1468  0.2935  0.2500
W  0.8532  0.7065  0.7500

* formation energy (no corrections): -0.968 eV/atom
* uncorrected energy: -11.074 eV/atom